Density functional theory data (PBE-GGA) for a geometry-optimized Pr2Dy3HoBi6 structure.

Lattice parameters (Å, degrees): 10.125 10.125 9.059 102.87 102.87 25.87
Fractional positions:
Pr  0.166  0.166  0.332
Pr  0.834  0.834  0.668
Dy  0.168  0.168  0.834
Dy  0.500  0.500  0.500
Dy  0.832  0.832  0.166
Ho  0.500  0.500  0.000
Bi  0.003  0.003  0.753
Bi  0.334  0.334  0.925
Bi  0.336  0.336  0.411
Bi  0.664  0.664  0.589
Bi  0.666  0.666  0.075
Bi  0.997  0.997  0.247

Its space-group type is C2/m (12). The calculation puts the formation energy at -883 meV/atom.

---

Density functional theory data (PBE-GGA) for a geometry-optimized PrDy3Ho2Bi6 structure.

Lattice parameters (Å, degrees): 10.059 10.059 8.999 102.89 102.89 25.85
Fractional positions:
Pr  0.000  0.000  0.000
Dy  0.000  0.000  0.500
Dy  0.335  0.335  0.168
Dy  0.665  0.665  0.832
Ho  0.332  0.332  0.667
Ho  0.668  0.668  0.333
Bi  0.167  0.167  0.582
Bi  0.170  0.170  0.085
Bi  0.499  0.499  0.742
Bi  0.501  0.501  0.258
Bi  0.830  0.830  0.915
Bi  0.833  0.833  0.418

Its space-group type is C2/m (12). The calculation puts the formation energy at -863 meV/atom.

---

Density functional theory data (PBE-GGA) for a geometry-optimized DyHo2PuBi4 structure.

Lattice parameters (Å, degrees): 7.769 4.488 7.771 90.00 109.41 90.00
Fractional positions:
Dy  0.000  0.000  0.000
Ho  0.500  0.000  0.500
Ho  0.500  0.500  0.000
Pu  0.000  0.500  0.500
Bi  0.252  0.500  0.249
Bi  0.253  0.000  0.753
Bi  0.747  0.000  0.247
Bi  0.748  0.500  0.751

Its space-group type is P2/m (10). The calculation puts the formation energy at -708 meV/atom.

---

Density functional theory data (PBE-GGA) for a geometry-optimized DyHoBiSb structure.

Lattice parameters (Å, degrees): 4.421 4.421 6.249 90.00 90.00 90.00
Fractional positions:
Dy  0.000  0.000  0.000
Ho  0.500  0.500  0.500
Bi  0.500  0.500  0.000
Sb  0.000  0.000  0.500

Its space-group type is P4/mmm (123). For the uncorrected formation energy, the calculation gives -0.981 eV/atom.

---

Density functional theory data (PBE-GGA) for a geometry-optimized DyHo2Sc3Bi6 structure.

Lattice parameters (Å, degrees): 7.570 7.570 7.557 99.60 99.60 120.02
Fractional positions:
Dy  0.000  0.000  0.000
Ho  0.333  0.667  0.000
Ho  0.667  0.333  0.000
Sc  0.166  0.834  0.500
Sc  0.500  0.500  0.500
Sc  0.834  0.166  0.500
Bi  0.088  0.422  0.264
Bi  0.246  0.246  0.736
Bi  0.422  0.088  0.264
Bi  0.578  0.912  0.736
Bi  0.754  0.754  0.264
Bi  0.912  0.578  0.736

Its space-group type is C2/m (12). The calculation puts the formation energy at -749 meV/atom.

---

Density functional theory data (PBE-GGA) for a geometry-optimized Dy3Ho2ScBi6 structure.

Lattice parameters (Å, degrees): 9.920 9.920 8.879 102.86 102.86 25.86
Fractional positions:
Dy  0.000  0.000  0.000
Dy  0.331  0.331  0.666
Dy  0.669  0.669  0.334
Ho  0.334  0.334  0.168
Ho  0.666  0.666  0.832
Sc  0.000  0.000  0.500
Bi  0.162  0.162  0.582
Bi  0.167  0.167  0.083
Bi  0.499  0.499  0.740
Bi  0.501  0.501  0.260
Bi  0.833  0.833  0.917
Bi  0.838  0.838  0.418

Its space-group type is C2/m (12). The calculation puts the formation energy at -813 meV/atom.

---

Density functional theory data (PBE-GGA) for a geometry-optimized DyHo2ScBi4 structure.

Lattice parameters (Å, degrees): 7.655 4.423 7.656 90.00 109.47 90.00
Fractional positions:
Dy  0.000  0.000  0.000
Ho  0.000  0.500  0.500
Ho  0.500  0.000  0.500
Sc  0.500  0.500  0.000
Bi  0.255  0.500  0.246
Bi  0.259  0.000  0.758
Bi  0.741  0.000  0.242
Bi  0.745  0.500  0.754

Its space-group type is P2/m (10). The calculation puts the formation energy at -789 meV/atom.

---

Density functional theory data (PBE-GGA) for a geometry-optimized DyHoSc2Bi4 structure.

Lattice parameters (Å, degrees): 7.564 4.370 7.570 90.00 109.46 90.00
Fractional positions:
Dy  0.000  0.000  0.000
Ho  0.000  0.500  0.500
Sc  0.500  0.000  0.500
Sc  0.500  0.500  0.000
Bi  0.264  0.000  0.754
Bi  0.264  0.500  0.255
Bi  0.736  0.000  0.246
Bi  0.736  0.500  0.745

Its space-group type is P2/m (10). The calculation puts the formation energy at -750 meV/atom.

---

Density functional theory data (PBE-GGA) for a geometry-optimized DyHoBiSe structure.

Lattice parameters (Å, degrees): 7.675 7.675 7.675 31.75 31.75 31.75
Fractional positions:
Dy  0.000  0.000  0.000
Ho  0.817  0.817  0.817
Bi  0.241  0.241  0.241
Se  0.412  0.412  0.412

Its space-group type is R3m (160). For the uncorrected formation energy, the calculation gives -1.222 eV/atom.

---

Density functional theory data (PBE-GGA) for a geometry-optimized Sm2DyHoBi5 structure.

Lattice parameters (Å, degrees): 5.407 5.407 11.895 90.00 90.00 90.00
Fractional positions:
Sm  0.000  0.000  0.227
Sm  0.000  0.000  0.773
Dy  0.500  0.500  0.500
Ho  0.500  0.500  0.000
Bi  0.000  0.000  0.500
Bi  0.000  0.500  0.000
Bi  0.500  0.000  0.000
Bi  0.500  0.500  0.254
Bi  0.500  0.500  0.746

Its space-group type is P4/mmm (123). The calculation puts the formation energy at -75 meV/atom.

---

Density functional theory data (PBE-GGA) for a geometry-optimized SmDyHo2Bi4 structure.

Lattice parameters (Å, degrees): 7.775 4.492 7.775 90.00 109.47 90.00
Fractional positions:
Sm  0.000  0.000  0.000
Dy  0.000  0.500  0.500
Ho  0.500  0.000  0.500
Ho  0.500  0.500  0.000
Bi  0.253  0.000  0.749
Bi  0.255  0.500  0.254
Bi  0.745  0.500  0.746
Bi  0.747  0.000  0.251

Its space-group type is P2/m (10). The calculation puts the formation energy at -862 meV/atom.

---

Density functional theory data (PBE-GGA) for a geometry-optimized Sm3DyHo2Bi6 structure.

Lattice parameters (Å, degrees): 10.085 10.085 9.023 102.83 102.83 25.85
Fractional positions:
Sm  0.000  0.000  0.000
Sm  0.333  0.333  0.667
Sm  0.667  0.667  0.333
Dy  0.000  0.000  0.500
Ho  0.333  0.333  0.167
Ho  0.667  0.667  0.833
Bi  0.165  0.165  0.587
Bi  0.168  0.168  0.080
Bi  0.498  0.498  0.253
Bi  0.502  0.502  0.747
Bi  0.832  0.832  0.920
Bi  0.835  0.835  0.413

Its space-group type is C2/m (12). The calculation puts the formation energy at -884 meV/atom.

---

Density functional theory data (PBE-GGA) for a geometry-optimized Sm2DyHoBi4 structure.

Lattice parameters (Å, degrees): 7.815 4.517 7.818 90.00 109.47 90.00
Fractional positions:
Sm  0.000  0.000  0.000
Sm  0.000  0.500  0.500
Dy  0.500  0.000  0.500
Ho  0.500  0.500  0.000
Bi  0.256  0.000  0.753
Bi  0.256  0.500  0.251
Bi  0.744  0.000  0.247
Bi  0.744  0.500  0.749

Its space-group type is P2/m (10). The calculation puts the formation energy at -885 meV/atom.

---

Density functional theory data (PBE-GGA) for a geometry-optimized SmDy2Ho3Bi6 structure.

Lattice parameters (Å, degrees): 10.019 10.019 8.964 102.85 102.85 25.85
Fractional positions:
Sm  0.000  0.000  0.000
Dy  0.333  0.333  0.667
Dy  0.667  0.667  0.333
Ho  0.000  0.000  0.500
Ho  0.334  0.334  0.168
Ho  0.666  0.666  0.832
Bi  0.166  0.166  0.583
Bi  0.169  0.169  0.083
Bi  0.500  0.500  0.255
Bi  0.500  0.500  0.745
Bi  0.831  0.831  0.917
Bi  0.834  0.834  0.417

Its space-group type is C2/m (12). The calculation puts the formation energy at -858 meV/atom.

---

Density functional theory data (PBE-GGA) for a geometry-optimized Sm3Dy2HoBi6 structure.

Lattice parameters (Å, degrees): 10.091 10.091 9.028 102.83 102.83 25.86
Fractional positions:
Sm  0.000  0.000  0.000
Sm  0.333  0.333  0.667
Sm  0.667  0.667  0.333
Dy  0.333  0.333  0.167
Dy  0.667  0.667  0.833
Ho  0.000  0.000  0.500
Bi  0.165  0.165  0.586
Bi  0.168  0.168  0.080
Bi  0.499  0.499  0.254
Bi  0.501  0.501  0.746
Bi  0.832  0.832  0.920
Bi  0.835  0.835  0.414

Its space-group type is C2/m (12). The calculation puts the formation energy at -888 meV/atom.

---

Density functional theory data (PBE-GGA) for a geometry-optimized TbDy2Ho3Bi6 structure.

Lattice parameters (Å, degrees): 9.986 9.986 8.935 102.85 102.85 25.85
Fractional positions:
Tb  0.000  0.000  0.000
Dy  0.333  0.333  0.667
Dy  0.667  0.667  0.333
Ho  0.000  0.000  0.500
Ho  0.334  0.334  0.167
Ho  0.666  0.666  0.833
Bi  0.166  0.166  0.584
Bi  0.167  0.167  0.083
Bi  0.500  0.500  0.251
Bi  0.500  0.500  0.749
Bi  0.833  0.833  0.917
Bi  0.834  0.834  0.416

Its space-group type is C2/m (12). The calculation puts the formation energy at -851 meV/atom.

---

Density functional theory data (PBE-GGA) for a geometry-optimized TbDyHo2Bi5 structure.

Lattice parameters (Å, degrees): 5.425 5.425 11.857 90.00 90.00 90.00
Fractional positions:
Tb  0.000  0.000  0.000
Dy  0.000  0.000  0.500
Ho  0.500  0.500  0.232
Ho  0.500  0.500  0.768
Bi  0.000  0.000  0.255
Bi  0.000  0.000  0.745
Bi  0.000  0.500  0.000
Bi  0.500  0.000  0.000
Bi  0.500  0.500  0.500

Its space-group type is P4/mmm (123). The calculation puts the formation energy at 72 meV/atom.

---

Density functional theory data (PBE-GGA) for a geometry-optimized DyHoTh2Bi5 structure.

Lattice parameters (Å, degrees): 5.402 5.402 11.723 90.00 90.00 90.00
Fractional positions:
Dy  0.000  0.000  0.000
Ho  0.000  0.000  0.500
Th  0.500  0.500  0.297
Th  0.500  0.500  0.703
Bi  0.000  0.000  0.247
Bi  0.000  0.000  0.753
Bi  0.000  0.500  0.500
Bi  0.500  0.000  0.500
Bi  0.500  0.500  0.000

Its space-group type is P4/mmm (123). The calculation puts the formation energy at 35 meV/atom.

---

Density functional theory data (PBE-GGA) for a geometry-optimized DyHo2Th3Bi6 structure.

Lattice parameters (Å, degrees): 10.132 10.132 9.038 102.71 102.71 25.89
Fractional positions:
Dy  0.000  0.000  0.000
Ho  0.333  0.333  0.667
Ho  0.667  0.667  0.333
Th  0.000  0.000  0.500
Th  0.334  0.334  0.167
Th  0.666  0.666  0.833
Bi  0.165  0.165  0.089
Bi  0.169  0.169  0.577
Bi  0.497  0.497  0.755
Bi  0.503  0.503  0.245
Bi  0.831  0.831  0.423
Bi  0.835  0.835  0.911

Its space-group type is C2/m (12). The calculation puts the formation energy at -702 meV/atom.

---

Density functional theory data (PBE-GGA) for a geometry-optimized Dy2HoThBi4 structure.

Lattice parameters (Å, degrees): 7.796 4.514 7.799 90.00 109.50 90.00
Fractional positions:
Dy  0.000  0.000  0.000
Dy  0.500  0.500  0.000
Ho  0.000  0.500  0.500
Th  0.500  0.000  0.500
Bi  0.243  0.500  0.244
Bi  0.246  0.000  0.752
Bi  0.754  0.000  0.248
Bi  0.757  0.500  0.756

Its space-group type is P2/m (10). The calculation puts the formation energy at -787 meV/atom.

---

Density functional theory data (PBE-GGA) for a geometry-optimized Dy3HoTh2Bi6 structure.

Lattice parameters (Å, degrees): 10.093 10.093 9.020 102.83 102.83 25.91
Fractional positions:
Dy  0.000  0.000  0.000
Dy  0.332  0.332  0.666
Dy  0.668  0.668  0.334
Ho  0.000  0.000  0.500
Th  0.335  0.335  0.169
Th  0.665  0.665  0.831
Bi  0.165  0.165  0.088
Bi  0.166  0.166  0.576
Bi  0.497  0.497  0.748
Bi  0.503  0.503  0.252
Bi  0.834  0.834  0.424
Bi  0.835  0.835  0.912

Its space-group type is C2/m (12). The calculation puts the formation energy at -759 meV/atom.

---

Density functional theory data (PBE-GGA) for a geometry-optimized Dy2HoThBi5 structure.

Lattice parameters (Å, degrees): 5.724 5.724 11.905 90.00 90.00 90.00
Fractional positions:
Dy  0.000  0.000  0.232
Dy  0.000  0.000  0.768
Ho  0.500  0.500  0.500
Th  0.500  0.500  0.000
Bi  0.000  0.000  0.500
Bi  0.000  0.500  0.000
Bi  0.500  0.000  0.000
Bi  0.500  0.500  0.259
Bi  0.500  0.500  0.741

Its space-group type is P4/mmm (123). The calculation puts the formation energy at 227 meV/atom.

---

Density functional theory data (PBE-GGA) for a geometry-optimized DyHo2ThBi4 structure.

Lattice parameters (Å, degrees): 7.787 4.510 7.791 90.00 109.49 90.00
Fractional positions:
Dy  0.000  0.000  0.000
Ho  0.500  0.000  0.500
Ho  0.500  0.500  0.000
Th  0.000  0.500  0.500
Bi  0.254  0.500  0.248
Bi  0.257  0.000  0.757
Bi  0.743  0.000  0.243
Bi  0.746  0.500  0.752

Its space-group type is P2/m (10). The calculation puts the formation energy at -781 meV/atom.

---

Number 1: V 394 Å³ per cell. Number 2: V 387 Å³ per cell. Number 3: V 256 Å³ per cell. Number 4: V 122 Å³ per cell. Number 5: V 353 Å³ per cell. Number 6: V 371 Å³ per cell. Number 7: V 244 Å³ per cell. Number 8: V 236 Å³ per cell. Number 9: V 111 Å³ per cell. Number 10: V 348 Å³ per cell. Number 11: V 256 Å³ per cell. Number 12: V 390 Å³ per cell. Number 13: V 260 Å³ per cell. Number 14: V 382 Å³ per cell. Number 15: V 390 Å³ per cell. Number 16: V 378 Å³ per cell. Number 17: V 349 Å³ per cell. Number 18: V 342 Å³ per cell. Number 19: V 395 Å³ per cell. Number 20: V 259 Å³ per cell. Number 21: V 391 Å³ per cell. Number 22: V 390 Å³ per cell. Number 23: V 258 Å³ per cell.